Entry 1:
Material: Tl2CuClF3
Method: DFT, PBE-GGA
State: optimized geometry

- total moment (μB per cell) = 1.99
- volume (Å³ per cell) = 281
- formation energy without anion corrections (eV/atom) = -1.406

Unit cell a=4.1840 b=4.8005 c=13.9948 alpha=90.00 beta=90.00 gamma=90.00
Space group Immm (No. 71)
Inequivalent atoms, fractional coordinates:
Tl 0.0000 0.0000 0.1585
Cu 0.0000 0.0000 0.5000
Cl 0.0000 0.5000 0.5000
F 0.0000 0.0000 0.3580
F 0.0000 0.5000 0.0000

---

Entry 2:
Material: KLaH
Method: DFT, PBE-GGA
State: optimized geometry

- calculated total energy (eV/atom) = -3.24
- total moment (μB per cell) = 0.88
- volume (Å³ per cell) = 396

Unit cell a=6.9443 b=4.0163 c=14.2079 alpha=90.00 beta=91.30 gamma=90.00
Space group Cm (No. 8)
Inequivalent atoms, fractional coordinates:
K 0.0000 0.0000 0.0000
K 0.1313 0.5000 0.2914
La 0.1536 0.5000 0.7572
La 0.4761 0.5000 0.5345
H 0.1407 0.5000 0.4954
H 0.4890 0.5000 0.7961

---

Entry 3:
Material: MnPbW
Method: DFT, PBE-GGA
State: optimized geometry

- relative energy among the computed polymorphs (kJ/mol of atoms) = 0.0
- total moment (μB per cell) = 2.14
- volume (Å³ per cell) = 109
- ΔE_f (eV per atom) = 0.685

Unit cell a=3.0879 b=3.0879 c=11.4490 alpha=90.00 beta=90.00 gamma=90.00
Space group I4mm (No. 107)
Inequivalent atoms, fractional coordinates:
Mn 0.0000 0.0000 0.0000
Pb 0.0000 0.0000 0.3110
W 0.0000 0.0000 0.6087

---

Entry 4:
Material: Li2TbAg2Pb2
Method: DFT, PBE-GGA
State: optimized geometry

- total moment (μB per cell) = 0.00
- volume (Å³ per cell) = 464
- ΔE_f (eV per atom) = -0.265

Unit cell a=4.7596 b=4.7596 c=23.6628 alpha=90.00 beta=90.00 gamma=120.00
Space group R-3m (No. 166, hexagonal axes)
Inequivalent atoms, fractional coordinates:
Li 0.0000 0.0000 0.1403
Tb 0.0000 0.0000 0.0000
Ag 0.0000 0.0000 0.4384
Pb 0.0000 0.0000 0.2637

---

Entry 5:
Material: Zr4Ir2C
Method: DFT, PBE-GGA
State: optimized geometry

- total moment (μB per cell) = 0.00
- volume (Å³ per cell) = 267
- ΔE_f (eV per atom) = -0.466

Unit cell a=4.4493 b=4.4493 c=13.5078 alpha=90.00 beta=90.00 gamma=90.00
Space group I4/mmm (No. 139)
Inequivalent atoms, fractional coordinates:
Zr 0.0000 0.0000 0.1765
Zr 0.0000 0.5000 0.0000
Ir 0.0000 0.0000 0.3670
C 0.0000 0.0000 0.0000

---

Entry 6:
Material: Pm3Pr4Ho
Method: DFT, PBE-GGA
State: optimized geometry

- relative energy among the computed polymorphs (kJ/mol of atoms) = 0.0
- total moment (μB per cell) = 0.00
- volume (Å³ per cell) = 559
- ΔE_f (eV per atom) = 0.015

Unit cell a=24.6491 b=3.6823 c=6.3753 alpha=90.00 beta=104.99 gamma=90.00
Space group C2/m (No. 12)
Inequivalent atoms, fractional coordinates:
Pm 0.0000 0.0000 0.0000
Pm 0.2493 0.5000 0.7491
Pr 0.1238 0.0000 0.4556
Pr 0.1247 0.5000 0.9575
Ho 0.0000 0.5000 0.5000

---

Entry 7:
Material: CrCd3
Method: DFT, PBE-GGA
State: optimized geometry

- total moment (μB per cell) = 7.76
- volume (Å³ per cell) = 163
- ΔE_f (eV per atom) = 0.274

Unit cell a=6.0493 b=8.4616 c=3.1929 alpha=90.00 beta=90.00 gamma=90.00
Space group Cmmm (No. 65)
Inequivalent atoms, fractional coordinates:
Cr 0.0000 0.0000 0.0000
Cd 0.0000 0.5000 0.0000
Cd 0.2500 0.2500 0.5000

---

Entry 8:
Material: Mg3Si4O12
Method: DFT, PBE-GGA
State: optimized geometry

- relative energy among the computed polymorphs (kJ/mol of atoms) = 0.0
- total moment (μB per cell) = 0.28
- volume (Å³ per cell) = 1009
- formation energy without anion corrections (eV/atom) = -2.571

Unit cell a=5.4468 b=9.1951 c=20.1888 alpha=90.00 beta=93.60 gamma=90.00
Space group Cc (No. 9)
Inequivalent atoms, fractional coordinates:
Mg 0.0000 0.0092 0.0000
Mg 0.4350 0.1784 0.5005
Mg 0.4675 0.1653 0.0002
Si 0.1753 0.1776 0.6400
Si 0.1762 0.1582 0.1400
Si 0.2587 0.3274 0.3605
Si 0.2597 0.0084 0.8604
O 0.0001 0.4064 0.3342
O 0.0015 0.0892 0.8346
O 0.1563 0.1789 0.5581
O 0.1605 0.1561 0.0582
O 0.1792 0.0100 0.6672
O 0.1806 0.4617 0.0318
O 0.2542 0.3692 0.9686
O 0.2557 0.1593 0.3332
O 0.2745 0.3253 0.4423
O 0.2785 0.0096 0.9424
O 0.4335 0.2583 0.6658
O 0.4348 0.2373 0.1662

---

Entry 9:
Material: CoSiP
Method: DFT, PBE-GGA
State: optimized geometry

- total moment (μB per cell) = 0.00
- volume (Å³ per cell) = 84
- formation energy without anion corrections (eV/atom) = 0.107

Unit cell a=4.2999 b=4.2999 c=4.5416 alpha=90.00 beta=90.00 gamma=90.00
Space group P4/nmm (No. 129, origin choice 2)
Inequivalent atoms, fractional coordinates:
Co 0.2500 0.2500 0.1867
Si 0.2500 0.2500 0.6758
P 0.2500 0.7500 0.0000

---

Entry 10:
Material: CdReI3
Method: DFT, PBE-GGA
State: optimized geometry

- relative energy among the computed polymorphs (kJ/mol of atoms) = 0.0
- total moment (μB per cell) = 2.89
- volume (Å³ per cell) = 172
- formation energy without anion corrections (eV/atom) = 0.566

Unit cell a=5.5560 b=5.5560 c=5.5560 alpha=90.00 beta=90.00 gamma=90.00
Space group Pm-3m (No. 221)
Inequivalent atoms, fractional coordinates:
Cd 0.0000 0.0000 0.0000
Re 0.5000 0.5000 0.5000
I 0.0000 0.5000 0.5000

---

Entry 11:
Material: Np2SiGe3Ir4
Method: DFT, PBE-GGA
State: optimized geometry

- total moment (μB per cell) = 7.41
- volume (Å³ per cell) = 179
- formation energy without anion corrections (eV/atom) = -0.493

Unit cell a=4.2035 b=4.2035 c=10.1162 alpha=90.00 beta=90.00 gamma=90.00
Space group P-4m2 (No. 115)
Inequivalent atoms, fractional coordinates:
Np 0.0000 0.5000 0.2418
Si 0.5000 0.5000 0.0000
Ge 0.0000 0.0000 0.0000
Ge 0.0000 0.5000 0.6340
Ir 0.0000 0.0000 0.5000
Ir 0.0000 0.5000 0.8746
Ir 0.5000 0.5000 0.5000

---

Entry 12:
Material: Gd2CuCl
Method: DFT, PBE-GGA
State: optimized geometry

- total moment (μB per cell) = 43.37
- volume (Å³ per cell) = 292
- formation energy without anion corrections (eV/atom) = -0.760

Unit cell a=4.0162 b=4.0162 c=20.9087 alpha=90.00 beta=90.00 gamma=120.00
Space group R-3m (No. 166, hexagonal axes)
Inequivalent atoms, fractional coordinates:
Gd 0.0000 0.0000 0.2435
Cu 0.0000 0.0000 0.5000
Cl 0.0000 0.0000 0.0000

---

Copy entry 7 word for word.
Material: CrCd3
Method: DFT, PBE-GGA
State: optimized geometry

- total moment (μB per cell) = 7.76
- volume (Å³ per cell) = 163
- ΔE_f (eV per atom) = 0.274

Unit cell a=6.0493 b=8.4616 c=3.1929 alpha=90.00 beta=90.00 gamma=90.00
Space group Cmmm (No. 65)
Inequivalent atoms, fractional coordinates:
Cr 0.0000 0.0000 0.0000
Cd 0.0000 0.5000 0.0000
Cd 0.2500 0.2500 0.5000

---

Question: What is the total moment in the tenth record?
Answer: 2.89 μB per cell

---

Question: Among the records above, which one has the lowest volume?
Answer: CoSiP

---

Question: Which formula does entry 6 have?
Answer: Pm3Pr4Ho